Run a
DFT (GGA-PBE) results for an optimized crystal structure of CsNbP2S.

Lattice parameters (Å, degrees): 5.2849 5.2849 5.0258 90.00 90.00 90.00
Sites, in units of the cell vectors:
Cs (0.0000, 0.0000, 0.0000)
P (0.0000, 0.5000, 0.0000)
P (0.5000, 0.0000, 0.0000)
Nb (0.5000, 0.5000, 0.5000)
S (0.0000, 0.0000, 0.5000)

Summary:
Size of the total moment (μB per atom): 0.000
Crystal system: tetragonal
DOS at the Fermi energy (states/eV/cell): 7.7

=====

Run b
DFT (GGA-PBE) results for an optimized crystal structure of CsNbP2S.

Lattice parameters (Å, degrees): 4.9750 4.9750 5.0128 90.00 90.00 90.00
Sites, in units of the cell vectors:
Cs (0.5000, 0.5000, 0.5000)
P (0.0000, 0.5000, 0.0000)
P (0.5000, 0.0000, 0.0000)
Nb (0.0000, 0.0000, 0.0000)
S (0.0000, 0.0000, 0.5000)

Summary:
Size of the total moment (μB per atom): 0.115
Crystal system: tetragonal
DOS at the Fermi energy (states/eV/cell): 4.6

=====

Least stable of them? run a.

=====

Run a
DFT (GGA-PBE) results for an optimized crystal structure of CsNbPd3.

Lattice parameters (Å, degrees): 5.0947 5.0947 5.0947 90.00 90.00 90.00
Sites, in units of the cell vectors:
Cs (0.5000, 0.5000, 0.5000)
Nb (0.0000, 0.0000, 0.0000)
Pd (0.0000, 0.5000, 0.0000)
Pd (0.0000, 0.0000, 0.5000)
Pd (0.5000, 0.0000, 0.0000)

Summary:
Size of the total moment (μB per atom): 0.005
Crystal system: cubic
DOS at the Fermi energy (states/eV/cell): 7.5

=====

Run b
DFT (GGA-PBE) results for an optimized crystal structure of CsNbPd3.

Lattice parameters (Å, degrees): 5.1236 5.1236 5.1236 90.00 90.00 90.00
Sites, in units of the cell vectors:
Cs (0.0000, 0.0000, 0.0000)
Nb (0.5000, 0.5000, 0.5000)
Pd (0.0000, 0.5000, 0.0000)
Pd (0.0000, 0.0000, 0.5000)
Pd (0.5000, 0.0000, 0.0000)

Summary:
Size of the total moment (μB per atom): 0.108
Crystal system: cubic
DOS at the Fermi energy (states/eV/cell): 9.7

=====

Least stable of them? run b.

=====

Run a
DFT (GGA-PBE) results for an optimized crystal structure of CsNb3Pd.

Lattice parameters (Å, degrees): 5.0800 5.0800 5.0800 90.00 90.00 90.00
Sites, in units of the cell vectors:
Cs (0.5000, 0.5000, 0.5000)
Nb (0.0000, 0.5000, 0.0000)
Nb (0.0000, 0.0000, 0.5000)
Nb (0.5000, 0.0000, 0.0000)
Pd (0.0000, 0.0000, 0.0000)

Summary:
Size of the total moment (μB per atom): 0.364
Crystal system: cubic
DOS at the Fermi energy (states/eV/cell): 8.2

=====

Run b
DFT (GGA-PBE) results for an optimized crystal structure of CsNb3Pd.

Lattice parameters (Å, degrees): 4.9952 4.9952 4.9952 90.00 90.00 90.00
Sites, in units of the cell vectors:
Cs (0.0000, 0.0000, 0.0000)
Nb (0.0000, 0.5000, 0.0000)
Nb (0.0000, 0.0000, 0.5000)
Nb (0.5000, 0.0000, 0.0000)
Pd (0.5000, 0.5000, 0.5000)

Summary:
Size of the total moment (μB per atom): 0.000
Crystal system: cubic
DOS at the Fermi energy (states/eV/cell): 9.3

=====

Least stable of them? run b.

=====

Run a
DFT (GGA-PBE) results for an optimized crystal structure of CsNb2Pd.

Lattice parameters (Å, degrees): 4.8175 4.8175 4.8175 60.00 60.00 60.00
Sites, in units of the cell vectors:
Cs (0.5000, 0.5000, 0.5000)
Nb (0.2500, 0.2500, 0.2500)
Nb (0.7500, 0.7500, 0.7500)
Pd (0.0000, 0.0000, 0.0000)

Summary:
Size of the total moment (μB per atom): 0.000
Crystal system: cubic
DOS at the Fermi energy (states/eV/cell): 6.0

=====

Run b
DFT (GGA-PBE) results for an optimized crystal structure of CsNb2Pd.

Lattice parameters (Å, degrees): 4.4861 4.4861 10.9954 78.23 78.23 90.00
Sites, in units of the cell vectors:
Cs (0.0000, 0.0000, 0.0000)
Cs (0.7500, 0.2500, 0.5000)
Nb (0.4910, 0.1250, 0.2500)
Nb (0.2590, 0.6250, 0.2500)
Nb (0.3750, 0.5090, 0.7500)
Nb (0.8750, 0.7410, 0.7500)
Pd (0.5000, 0.5000, 0.0000)
Pd (0.2500, 0.7500, 0.5000)

Summary:
Size of the total moment (μB per atom): 0.000
Crystal system: tetragonal
DOS at the Fermi energy (states/eV/cell): 11.0

=====

Least stable of them? run b.

=====

Run a
DFT (GGA-PBE) results for an optimized crystal structure of CsNb2Pt.

Lattice parameters (Å, degrees): 4.9267 4.9267 10.0978 75.88 75.88 90.00
Sites, in units of the cell vectors:
Cs (0.5000, 0.5000, 0.0000)
Cs (0.2500, 0.7500, 0.5000)
Nb (0.7914, 0.1250, 0.2500)
Nb (0.9586, 0.6250, 0.2500)
Nb (0.3750, 0.2086, 0.7500)
Nb (0.8750, 0.0414, 0.7500)
Pt (0.0000, 0.0000, 0.0000)
Pt (0.7500, 0.2500, 0.5000)

Summary:
Size of the total moment (μB per atom): 0.000
Crystal system: tetragonal
DOS at the Fermi energy (states/eV/cell): 6.2

=====

Run b
DFT (GGA-PBE) results for an optimized crystal structure of CsNb2Pt.

Lattice parameters (Å, degrees): 4.8072 4.8072 4.8072 60.00 60.00 60.00
Sites, in units of the cell vectors:
Cs (0.0000, 0.0000, 0.0000)
Nb (0.2500, 0.2500, 0.2500)
Nb (0.7500, 0.7500, 0.7500)
Pt (0.5000, 0.5000, 0.5000)

Summary:
Size of the total moment (μB per atom): 0.000
Crystal system: cubic
DOS at the Fermi energy (states/eV/cell): 4.1

=====

Least stable of them? run a.

=====

Run a
DFT (GGA-PBE) results for an optimized crystal structure of CsRbNbTeRu.

Lattice parameters (Å, degrees): 3.9889 5.1689 10.8619 84.85 92.27 78.86
Sites, in units of the cell vectors:
Cs (0.8161, 0.5967, 0.8152)
Ru (0.2436, 0.9914, 0.9960)
Nb (0.7420, 0.0977, 0.1060)
Te (0.5337, 0.6146, 0.1742)
Rb (0.2147, 0.1650, 0.4090)

Summary:
Size of the total moment (μB per atom): 0.000
Crystal system: triclinic
DOS at the Fermi energy (states/eV/cell): 4.6

=====

Run b
DFT (GGA-PBE) results for an optimized crystal structure of CsRbNbTeRu.

Lattice parameters (Å, degrees): 4.4261 4.4271 12.0787 83.76 86.48 60.05
Sites, in units of the cell vectors:
Cs (0.4832, 0.8439, 0.8077)
Ru (0.1447, 0.4401, 0.0524)
Nb (0.8110, 0.1029, 0.0657)
Te (0.4747, 0.7364, 0.1823)
Rb (0.1360, 0.3429, 0.3923)

Summary:
Size of the total moment (μB per atom): 0.000
Crystal system: triclinic
DOS at the Fermi energy (states/eV/cell): 4.0

=====

Run c
DFT (GGA-PBE) results for an optimized crystal structure of CsRbNbTeRu.

Lattice parameters (Å, degrees): 4.4408 4.4400 11.8680 79.45 80.21 60.01
Sites, in units of the cell vectors:
Cs (0.4413, 0.0329, 0.1957)
Rb (0.9401, 0.5743, 0.6014)
Nb (0.1737, 0.7827, 0.9581)
Te (0.5435, 0.1616, 0.8276)
Ru (0.8519, 0.4638, 0.9167)

Summary:
Size of the total moment (μB per atom): 0.176
Crystal system: triclinic
DOS at the Fermi energy (states/eV/cell): 4.3

=====

Run d
DFT (GGA-PBE) results for an optimized crystal structure of CsRbNbTeRu.

Lattice parameters (Å, degrees): 6.6861 3.7868 8.2401 90.00 113.66 90.00
Sites, in units of the cell vectors:
Cs (0.4351, 0.0000, 0.3794)
Rb (0.7569, 0.0000, 0.0191)
Nb (0.1199, 0.0000, 0.7447)
Te (0.9710, 0.5000, 0.4535)
Ru (0.2175, 0.5000, 0.9380)

Summary:
Size of the total moment (μB per atom): 0.147
Crystal system: monoclinic
DOS at the Fermi energy (states/eV/cell): 2.8

=====

Least stable of them? run a.

=====

Run a
DFT (GGA-PBE) results for an optimized crystal structure of CsRbNbTeRu.

Lattice parameters (Å, degrees): 4.2056 5.4599 7.8886 93.32 99.54 101.29
Sites, in units of the cell vectors:
Cs (0.1786, 0.5998, 0.2353)
Rb (0.7109, 0.1537, 0.5292)
Nb (0.3042, 0.1098, 0.9071)
Te (0.4276, 0.6219, 0.7994)
Ru (0.8286, 0.9801, 0.0286)

Summary:
Size of the total moment (μB per atom): 0.148
Crystal system: triclinic
DOS at the Fermi energy (states/eV/cell): 2.5

=====

Run b
DFT (GGA-PBE) results for an optimized crystal structure of CsRbNbTeRu.

Lattice parameters (Å, degrees): 3.6773 3.6772 13.3677 94.79 96.48 103.92
Sites, in units of the cell vectors:
Cs (0.8023, 0.6008, 0.7884)
Rb (0.1104, 0.8873, 0.4213)
Nb (0.7781, 0.8997, 0.0810)
Te (0.4757, 0.3310, 0.2181)
Ru (0.3475, 0.2461, 0.9917)

Summary:
Size of the total moment (μB per atom): 0.000
Crystal system: triclinic
DOS at the Fermi energy (states/eV/cell): 3.4

=====

Run c
DFT (GGA-PBE) results for an optimized crystal structure of CsRbNbTeRu.

Lattice parameters (Å, degrees): 4.1138 4.1156 12.8123 91.11 97.47 119.90
Sites, in units of the cell vectors:
Cs (0.6386, 0.0436, 0.2066)
Rb (0.2748, 0.8240, 0.5799)
Nb (0.8048, 0.6108, 0.9210)
Te (0.0609, 0.2303, 0.7874)
Ru (0.1867, 0.3068, 0.0047)

Summary:
Size of the total moment (μB per atom): 0.129
Crystal system: triclinic
DOS at the Fermi energy (states/eV/cell): 4.1

=====

Least stable of them? run a.

=====

Run a
DFT (GGA-PBE) results for an optimized crystal structure of CsNbRu2.

Lattice parameters (Å, degrees): 5.4275 5.4275 8.7074 71.84 71.84 90.00
Sites, in units of the cell vectors:
Cs (0.0000, 0.0000, 0.0000)
Cs (0.7500, 0.2500, 0.5000)
Ru (0.4523, 0.1250, 0.2500)
Ru (0.2977, 0.6250, 0.2500)
Ru (0.3750, 0.5477, 0.7500)
Ru (0.8750, 0.7023, 0.7500)
Nb (0.5000, 0.5000, 0.0000)
Nb (0.2500, 0.7500, 0.5000)

Summary:
Size of the total moment (μB per atom): 0.000
Crystal system: tetragonal
DOS at the Fermi energy (states/eV/cell): 6.4

=====

Run b
DFT (GGA-PBE) results for an optimized crystal structure of CsNbRu2.

Lattice parameters (Å, degrees): 4.7768 4.7768 4.7768 60.00 60.00 60.00
Sites, in units of the cell vectors:
Cs (0.5000, 0.5000, 0.5000)
Ru (0.2500, 0.2500, 0.2500)
Ru (0.7500, 0.7500, 0.7500)
Nb (0.0000, 0.0000, 0.0000)

Summary:
Size of the total moment (μB per atom): 0.001
Crystal system: cubic
DOS at the Fermi energy (states/eV/cell): 2.8

=====

Least stable of them? run b.

=====

Run a
DFT (GGA-PBE) results for an optimized crystal structure of CsNb3S.

Lattice parameters (Å, degrees): 4.8123 4.8123 4.8123 90.00 90.00 90.00
Sites, in units of the cell vectors:
Cs (0.5000, 0.5000, 0.5000)
Nb (0.0000, 0.5000, 0.0000)
Nb (0.0000, 0.0000, 0.5000)
Nb (0.5000, 0.0000, 0.0000)
S (0.0000, 0.0000, 0.0000)

Summary:
Size of the total moment (μB per atom): 0.000
Crystal system: cubic
DOS at the Fermi energy (states/eV/cell): 11.0

=====

Run b
DFT (GGA-PBE) results for an optimized crystal structure of CsNb3S.

Lattice parameters (Å, degrees): 5.0466 5.0466 5.0466 90.00 90.00 90.00
Sites, in units of the cell vectors:
Cs (0.0000, 0.0000, 0.0000)
Nb (0.0000, 0.5000, 0.0000)
Nb (0.0000, 0.0000, 0.5000)
Nb (0.5000, 0.0000, 0.0000)
S (0.5000, 0.5000, 0.5000)

Summary:
Size of the total moment (μB per atom): 0.000
Crystal system: cubic
DOS at the Fermi energy (states/eV/cell): 2.9

=====

Least stable of them? run b.

=====

Run a
DFT (GGA-PBE) results for an optimized crystal structure of Cs2NbS4.

Lattice parameters (Å, degrees): 6.8451 8.3511 8.4989 111.26 90.00 90.00
Sites, in units of the cell vectors:
Cs (0.2500, 0.3317, 0.0001)
Cs (0.7500, 0.6683, 0.9999)
Cs (0.7500, 0.9902, 0.6572)
Cs (0.2500, 0.0098, 0.3428)
Nb (0.2500, 0.5820, 0.6158)
Nb (0.7500, 0.4180, 0.3842)
S (0.5111, 0.3912, 0.6155)
S (0.2500, 0.7199, 0.9134)
S (0.7500, 0.2801, 0.0866)
S (0.9889, 0.3912, 0.6155)
S (0.7500, 0.0997, 0.2914)
S (0.0111, 0.6088, 0.3845)
S (0.4889, 0.6088, 0.3845)
S (0.2500, 0.9003, 0.7086)

Summary:
Size of the total moment (μB per atom): 0.142
Crystal system: monoclinic

=====

Run b
DFT (GGA-PBE) results for an optimized crystal structure of Cs2NbS4.

Lattice parameters (Å, degrees): 4.9971 4.9971 9.4345 74.64 74.64 90.00
Sites, in units of the cell vectors:
Cs (0.3509, 0.3509, 0.2983)
Cs (0.6491, 0.6491, 0.7017)
Nb (0.0000, 0.0000, 0.0000)
S (0.1373, 0.1373, 0.7254)
S (0.8627, 0.8627, 0.2746)
S (0.0000, 0.5000, 0.0000)
S (0.5000, 0.0000, 0.0000)

Summary:
Size of the total moment (μB per atom): 0.152
Crystal system: tetragonal
DOS at the Fermi energy (states/eV/cell): 4.7

=====

Least stable of them? run b.

=====

Run a
DFT (GGA-PBE) results for an optimized crystal structure of CsSc2Nb.

Lattice parameters (Å, degrees): 5.2592 5.2592 5.2592 60.00 60.00 60.00
Sites, in units of the cell vectors:
Cs (0.5000, 0.5000, 0.5000)
Sc (0.2500, 0.2500, 0.2500)
Sc (0.7500, 0.7500, 0.7500)
Nb (0.0000, 0.0000, 0.0000)

Summary:
Size of the total moment (μB per atom): 0.000
Crystal system: cubic
DOS at the Fermi energy (states/eV/cell): 7.6

=====

Run b
DFT (GGA-PBE) results for an optimized crystal structure of CsSc2Nb.

Lattice parameters (Å, degrees): 7.8160 7.8160 7.8554 60.17 60.17 90.00
Sites, in units of the cell vectors:
Cs (0.0000, 0.0000, 0.0000)
Cs (0.7500, 0.2500, 0.5000)
Sc (0.3750, 0.1250, 0.2500)
Sc (0.3750, 0.6250, 0.2500)
Sc (0.3750, 0.6250, 0.7500)
Sc (0.8750, 0.6250, 0.7500)
Nb (0.5000, 0.5000, 0.0000)
Nb (0.2500, 0.7500, 0.5000)

Summary:
Size of the total moment (μB per atom): 0.143
Crystal system: tetragonal
DOS at the Fermi energy (states/eV/cell): 14.4

=====

Least stable of them? run b.

=====

Run a
DFT (GGA-PBE) results for an optimized crystal structure of CsSc3Nb.

Lattice parameters (Å, degrees): 5.4233 5.4233 5.4233 90.00 90.00 90.00
Sites, in units of the cell vectors:
Cs (0.5000, 0.5000, 0.5000)
Sc (0.0000, 0.5000, 0.0000)
Sc (0.0000, 0.0000, 0.5000)
Sc (0.5000, 0.0000, 0.0000)
Nb (0.0000, 0.0000, 0.0000)

Summary:
Size of the total moment (μB per atom): 0.000
Crystal system: cubic
DOS at the Fermi energy (states/eV/cell): 6.3

=====

Run b
DFT (GGA-PBE) results for an optimized crystal structure of CsSc3Nb.

Lattice parameters (Å, degrees): 5.1688 5.1688 5.1688 90.00 90.00 90.00
Sites, in units of the cell vectors:
Cs (0.0000, 0.0000, 0.0000)
Sc (0.0000, 0.5000, 0.0000)
Sc (0.0000, 0.0000, 0.5000)
Sc (0.5000, 0.0000, 0.0000)
Nb (0.5000, 0.5000, 0.5000)

Summary:
Size of the total moment (μB per atom): 0.424
Crystal system: cubic
DOS at the Fermi energy (states/eV/cell): 5.9

=====

Least stable of them? run b.